K2YCo3F12 | PBE with a Hubbard U | relaxed

Summary:
Magnetization   10.00 μB per cell
Raw total energy   -94.3 eV per cell
N(E_F)   0.56 states/eV/atom

Unit cell a=7.3630 b=7.3630 c=7.3630 alpha=61.41 beta=61.41 gamma=61.41
Each line ends with the local moment (μB).
Element x y z (fractional)
F  0.6401  0.0991  0.0991  0.04
F  0.3599  0.9009  0.9009  0.04
F  0.0991  0.6401  0.0991  0.04
F  0.3028  0.3028  0.9156  0.10
Co  0.0000  0.0000  0.5000  3.00
K  0.3763  0.3763  0.3763  0.00
F  0.3028  0.9156  0.3028  0.10
Y  0.0000  0.0000  0.0000  0.01
F  0.9156  0.3028  0.3028  0.10
Co  0.5000  0.0000  0.0000  3.00
F  0.9009  0.3599  0.9009  0.04
Co  0.0000  0.5000  0.0000  3.00
F  0.6972  0.0844  0.6972  0.10
K  0.6237  0.6237  0.6237  0.00
F  0.6972  0.6972  0.0844  0.10
F  0.0991  0.0991  0.6401  0.04
F  0.0844  0.6972  0.6972  0.10
F  0.9009  0.9009  0.3599  0.04